No. 1
Density functional theory data (PBE-GGA) for an optimized crystal structure of RbCuTeBr6.

V = 343.1 Å³/cell
E_form (uncorrected) = -0.64 eV/atom
magnetization = 0.12 μB per formula unit

The structure in CIF format:
```
data_RbCuTeBr6
_symmetry_space_group_name_H-M 'P 1'
_symmetry_Int_Tables_number 1
_cell_length_a 6.909
_cell_length_b 7.449
_cell_length_c 7.557
_cell_angle_alpha 86.66
_cell_angle_beta 62.81
_cell_angle_gamma 82.70
loop_
_symmetry_equiv_pos_as_xyz
'x,y,z'
loop_
_atom_site_label
_atom_site_fract_x
_atom_site_fract_y
_atom_site_fract_z
Rb1 0.000 0.000 0.000
Cu1 0.591 0.500 0.818
Te1 0.303 0.500 0.394
Br1 0.014 0.793 0.426
Br2 0.295 0.332 0.074
Br3 0.403 0.677 0.652
Br4 0.560 0.207 0.425
Br5 0.630 0.670 0.074
Br6 0.944 0.323 0.653
```

=====

No. 2
Density functional theory data (PBE-GGA) for an optimized crystal structure of ZnNiIr2.

calculated formation energy = -0.19 eV per formula unit
V = 54.4 Å³/cell
magnetization = 0.00 μB per formula unit
DOS at the Fermi energy = 1.014 states/eV/atom

The structure in CIF format:
```
data_ZnNiIr2
_symmetry_space_group_name_H-M 'P 1 m 1'
_symmetry_Int_Tables_number 6
_cell_length_a 2.726
_cell_length_b 3.786
_cell_length_c 5.275
_cell_angle_alpha 90.00
_cell_angle_beta 90.18
_cell_angle_gamma 90.00
loop_
_symmetry_equiv_pos_as_xyz
'x,y,z'
'x,-y,z'
loop_
_atom_site_label
_atom_site_fract_x
_atom_site_fract_y
_atom_site_fract_z
Zn1 0.000 0.000 0.000
Ni1 0.502 0.500 0.767
Ir1 0.002 0.000 0.513
Ir2 0.500 0.500 0.273
```

=====

No. 3
Density functional theory data (PBE-GGA) for an optimized crystal structure of Pm2SiP.

V = 393.7 Å³/cell
E_form (uncorrected) = -1.17 eV/atom
magnetization = 0.00 μB per formula unit
DOS at the Fermi energy = 0.396 states/eV/atom

The structure in CIF format:
```
data_Pm2SiP
_symmetry_space_group_name_H-M 'C m c m'
_symmetry_Int_Tables_number 63
_symmetry_space_group_name_Hall '-C 2c 2'
_cell_length_a 4.267
_cell_length_b 23.091
_cell_length_c 3.996
_cell_angle_alpha 90.00
_cell_angle_beta 90.00
_cell_angle_gamma 90.00
loop_
_atom_site_label
_atom_site_fract_x
_atom_site_fract_y
_atom_site_fract_z
Pm1 0.000 0.067 0.250
Pm2 0.000 0.312 0.250
Si1 0.000 0.466 0.250
P1 0.000 0.188 0.250
```

=====

No. 4
Density functional theory data (PBE-GGA) for an optimized crystal structure of HPd3Pt.

E_tot = -5.00 eV/atom
V = 516.1 Å³/cell
magnetization = 0.00 μB per formula unit
DOS at the Fermi energy = 2.099 states/eV/atom

The structure in CIF format:
```
data_HPd3Pt
_symmetry_space_group_name_H-M 'C 1 2/c 1'
_symmetry_Int_Tables_number 15
_cell_length_a 11.003
_cell_length_b 9.763
_cell_length_c 5.464
_cell_angle_alpha 90.00
_cell_angle_beta 118.45
_cell_angle_gamma 90.00
loop_
_symmetry_equiv_pos_as_xyz
'x,y,z'
'-x,-y,-z'
'-x,y,-z+1/2'
'x,-y,z+1/2'
'x+1/2,y+1/2,z'
'-x+1/2,-y+1/2,-z'
'-x+1/2,y+1/2,-z+1/2'
'x+1/2,-y+1/2,z+1/2'
loop_
_atom_site_label
_atom_site_fract_x
_atom_site_fract_y
_atom_site_fract_z
H1 0.170 0.121 0.379
Pd1 0.122 0.459 0.500
Pd2 0.124 0.046 0.998
Pd3 0.250 0.207 0.754
Pt1 0.000 0.214 0.250
Pt2 0.000 0.294 0.750
```